# Be5Ag

A relaxed structure of Be5Ag (GGA-PBE, Alexandria).

Calculated values
energy of formation from the pure elements = 0.127 eV per atom
space group = C2/m (12)
magnetic moment = 0.00 μB/atom
uncorrected energy = -3.45 eV/atom

CIF file:
```
data_Be5Ag
_chemical_formula_sum 'Be5 Ag1'
_space_group_name_H-M_alt 'P 1'
_space_group_IT_number 1
_space_group_name_Hall 'P 1'
_cell_length_a 4.3282
_cell_length_b 4.3282
_cell_length_c 5.3895
_cell_angle_alpha 107.78
_cell_angle_beta 107.78
_cell_angle_gamma 37.47
loop_
_atom_site_label
_atom_site_type_symbol
_atom_site_fract_x
_atom_site_fract_y
_atom_site_fract_z
Be1 Be 0.0000 0.0000 0.0000
Be2 Be 0.3273 0.3273 0.6996
Be3 Be 0.3296 0.3296 0.1356
Be4 Be 0.6704 0.6704 0.8644
Be5 Be 0.6727 0.6727 0.3004
Ag1 Ag 0.0000 0.0000 0.5000
```

=====

# CaCd2SiPd2

A relaxed structure of CaCd2SiPd2 (GGA-PBE, Alexandria).

Calculated values
uncorrected formation energy = -0.429 eV/atom
space group = P4/mmm (123)
magnetic moment = 0.00 μB/atom
uncorrected energy = -3.70 eV/atom

CIF file:
```
data_CaCd2SiPd2
_chemical_formula_sum 'Ca1 Cd2 Si1 Pd2'
_space_group_name_H-M_alt 'P 1'
_space_group_IT_number 1
_space_group_name_Hall 'P 1'
_cell_length_a 4.6630
_cell_length_b 4.6630
_cell_length_c 6.0511
_cell_angle_alpha 90.00
_cell_angle_beta 90.00
_cell_angle_gamma 90.00
loop_
_atom_site_label
_atom_site_type_symbol
_atom_site_fract_x
_atom_site_fract_y
_atom_site_fract_z
Ca1 Ca 0.0000 0.0000 0.0000
Cd1 Cd 0.5000 0.5000 0.2298
Cd2 Cd 0.5000 0.5000 0.7702
Si1 Si 0.0000 0.0000 0.5000
Pd1 Pd 0.0000 0.5000 0.5000
Pd2 Pd 0.5000 0.0000 0.5000
```

=====

# TlBi3C

A relaxed structure of TlBi3C (GGA-PBE, Alexandria).

Calculated values
energy of formation from the pure elements = 2.135 eV per atom
space group = Pm-3m (221)
magnetic moment = 0.31 μB/atom
uncorrected energy = -2.51 eV/atom

CIF file:
```
data_TlBi3C
_chemical_formula_sum 'Tl1 Bi3 C1'
_space_group_name_H-M_alt 'P 1'
_space_group_IT_number 1
_space_group_name_Hall 'P 1'
_cell_length_a 5.8701
_cell_length_b 5.8701
_cell_length_c 5.8701
_cell_angle_alpha 90.00
_cell_angle_beta 90.00
_cell_angle_gamma 90.00
loop_
_atom_site_label
_atom_site_type_symbol
_atom_site_fract_x
_atom_site_fract_y
_atom_site_fract_z
Tl1 Tl 0.0000 0.0000 0.0000
Bi1 Bi 0.0000 0.0000 0.5000
Bi2 Bi 0.0000 0.5000 0.0000
Bi3 Bi 0.5000 0.0000 0.0000
C1 C 0.5000 0.5000 0.5000
```

=====

# RbSnBiTe3

A relaxed structure of RbSnBiTe3 (GGA-PBE, Alexandria).

Calculated values
uncorrected formation energy = -0.496 eV/atom
space group = P2_1/m (11)
magnetic moment = 0.00 μB/atom
uncorrected energy = -3.54 eV/atom

CIF file:
```
data_RbSnBiTe3
_chemical_formula_sum 'Rb2 Sn2 Bi2 Te6'
_space_group_name_H-M_alt 'P 1'
_space_group_IT_number 1
_space_group_name_Hall 'P 1'
_cell_length_a 9.5888
_cell_length_b 4.4898
_cell_length_c 12.2108
_cell_angle_alpha 90.00
_cell_angle_beta 109.64
_cell_angle_gamma 90.00
loop_
_atom_site_label
_atom_site_type_symbol
_atom_site_fract_x
_atom_site_fract_y
_atom_site_fract_z
Rb1 Rb 0.2322 0.2500 0.2783
Rb2 Rb 0.7678 0.7500 0.7217
Sn1 Sn 0.1270 0.2500 0.5551
Sn2 Sn 0.8730 0.7500 0.4449
Bi1 Bi 0.3646 0.7500 0.8458
Bi2 Bi 0.6354 0.2500 0.1542
Te1 Te 0.1131 0.2500 0.7879
Te2 Te 0.3452 0.7500 0.5759
Te3 Te 0.3926 0.7500 0.1049
Te4 Te 0.6074 0.2500 0.8951
Te5 Te 0.6548 0.2500 0.4241
Te6 Te 0.8869 0.7500 0.2121
```

=====

Q: Which of these has the highest uncorrected energy?
A: TlBi3C

=====

Q: Among the records above, which one has the highest uncorrected energy?
A: TlBi3C